Record 1
The following is a DFT calculation (PBEsol) of a geometry-optimized Co3Se4 structure.

Values from the calculation:
mass density = 7.2 g cm⁻³
energy above the most stable polymorph in this dataset = 0 meV/atom
size of the total moment = 0.0 μB per formula unit
crystal system = cubic
DFT total energy = -41.01 eV/f.u.
E_form (uncorrected) = -7.91 kcal/mol of atoms

Cell lengths 9.680, 9.680, 9.680 Å; angles 90.00, 90.00, 90.00 degrees
Space group Fd-3m (No. 227, origin choice 2)
Unique sites:
1 Co 0.000 0.000 0.000
2 Co 0.125 0.125 0.625
3 Se 0.007 0.007 0.243

---

Record 2
The following is a DFT calculation (PBEsol) of a geometry-optimized CoSe structure.

Values from the calculation:
mass density = 6.9 g cm⁻³
size of the total moment = 0.0 μB per formula unit
crystal system = trigonal
DFT total energy = -11.64 eV/f.u.
E_form (uncorrected) = -0.61 kcal/mol of atoms

Cell lengths 3.5309, 3.5309, 18.4016 Å; angles 90.00, 90.00, 120.00 degrees
Space group R-3m (No. 166, hexagonal axes)
Unique sites:
1 Co 0.0000 0.0000 0.1255
2 Se 0.0000 0.0000 0.4113

---

Record 3
The following is a DFT calculation (PBEsol) of a geometry-optimized Co17Se20 structure.

Values from the calculation:
mass density = 7.9 g cm⁻³
size of the total moment = 0.0 μB per formula unit
crystal system = triclinic
DFT total energy = -219.64 eV/f.u.
E_form (uncorrected) = -6.92 kcal/mol of atoms

Cell lengths 10.180, 10.590, 12.217 Å; angles 106.53, 90.75, 118.54 degrees
Space group P-1 (No. 2)
Unique sites:
1 Co 0.000 0.000 0.000
2 Co 0.000 0.000 0.500
3 Co 0.056 0.611 0.390
4 Co 0.057 0.598 0.895
5 Co 0.118 0.211 0.801
6 Co 0.131 0.803 0.705
7 Co 0.137 0.792 0.211
8 Co 0.199 0.403 0.596
9 Co 0.215 0.412 0.101
10 Co 0.259 0.000 0.500
11 Co 0.288 0.041 0.994
12 Co 0.305 0.612 0.403
13 Co 0.332 0.206 0.304
14 Co 0.371 0.202 0.840
15 Co 0.398 0.816 0.208
16 Co 0.401 0.808 0.709
17 Co 0.453 0.404 0.596
18 Co 0.456 0.362 0.074
19 Se 0.010 0.791 0.034
20 Se 0.028 0.801 0.531
21 Se 0.080 0.407 0.267
22 Se 0.090 0.408 0.768
23 Se 0.122 0.997 0.336
24 Se 0.125 0.007 0.838
25 Se 0.164 0.601 0.071
26 Se 0.173 0.607 0.570
27 Se 0.226 0.203 0.630
28 Se 0.226 0.205 0.130
29 Se 0.265 0.811 0.867
30 Se 0.281 0.808 0.371
31 Se 0.323 0.406 0.435
32 Se 0.336 0.407 0.937
33 Se 0.357 0.010 0.170
34 Se 0.363 0.002 0.677
35 Se 0.430 0.615 0.234
36 Se 0.438 0.608 0.736
37 Se 0.469 0.199 0.461
38 Se 0.479 0.805 0.026

---

Record 4
The following is a DFT calculation (PBEsol) of a geometry-optimized CoSe3 structure.

Values from the calculation:
mass density = 7.0 g cm⁻³
energy above the most stable polymorph in this dataset = 102 meV/atom
size of the total moment = 0.0 μB per formula unit
crystal system = trigonal
DFT total energy = -19.41 eV/f.u.
E_form (uncorrected) = -0.69 kcal/mol of atoms

Cell lengths 3.4082, 3.4082, 20.7841 Å; angles 90.00, 90.00, 120.00 degrees
Space group R-3m (No. 166, hexagonal axes)
Unique sites:
1 Co 0.0000 0.0000 0.0000
2 Se 0.0000 0.0000 0.2711
3 Se 0.0000 0.0000 0.5000

---

Record 5
The following is a DFT calculation (PBEsol) of a geometry-optimized CoSe structure.

Values from the calculation:
mass density = 7.4 g cm⁻³
size of the total moment = 0.0 μB per formula unit
crystal system = monoclinic
DFT total energy = -11.96 eV/f.u.
E_form (uncorrected) = -4.26 kcal/mol of atoms

Cell lengths 11.357, 3.241, 5.791 Å; angles 90.00, 119.08, 90.00 degrees
Space group Cm (No. 8)
Unique sites:
1 Co 0.000 0.000 0.000
2 Co 0.021 0.500 0.678
3 Co 0.157 0.000 0.519
4 Se 0.175 0.000 0.924
5 Se 0.324 0.500 0.584
6 Se 0.490 0.000 0.255

---

Record 6
The following is a DFT calculation (PBEsol) of a geometry-optimized Co3Se structure.

Values from the calculation:
mass density = 9.4 g cm⁻³
size of the total moment = 3.7 μB per formula unit
crystal system = tetragonal
DFT total energy = -26.28 eV/f.u.
E_form (uncorrected) = 4.50 kcal/mol of atoms

Cell lengths 3.586, 3.586, 7.023 Å; angles 90.00, 90.00, 90.00 degrees
Space group I4/mmm (No. 139)
Unique sites:
1 Co 0.000 0.000 0.000
2 Co 0.000 0.500 0.250
3 Se 0.000 0.000 0.500

---

Record 7
The following is a DFT calculation (PBEsol) of a geometry-optimized CoSe structure.

Values from the calculation:
mass density = 6.7 g cm⁻³
size of the total moment = 0.0 μB per formula unit
crystal system = tetragonal
DFT total energy = -12.18 eV/f.u.
E_form (uncorrected) = -6.81 kcal/mol of atoms

Cell lengths 3.560, 3.560, 5.383 Å; angles 90.00, 90.00, 90.00 degrees
Space group P4/nmm (No. 129, origin choice 2)
Unique sites:
1 Co 0.250 0.750 0.000
2 Se 0.250 0.250 0.267

---

Record 8
The following is a DFT calculation (PBEsol) of a geometry-optimized Co3Se2 structure.

Values from the calculation:
mass density = 8.4 g cm⁻³
size of the total moment = 2.6 μB per formula unit
crystal system = trigonal
DFT total energy = -29.88 eV/f.u.
E_form (uncorrected) = 4.76 kcal/mol of atoms

Cell lengths 3.7407, 3.7407, 16.3824 Å; angles 90.00, 90.00, 120.00 degrees
Space group R-3m (No. 166, hexagonal axes)
Unique sites:
1 Co 0.0000 0.0000 0.0000
2 Co 0.0000 0.0000 0.2156
3 Se 0.0000 0.0000 0.4099